FeOsIO2 after structural relaxation. Source: the Alexandria database, functional PBE+U.

The structure belongs to space group P4/mmm (No. 123); the cell edges are 3.7774, 3.7774 and 6.6165 Å and the angles 90.00°, 90.00° and 90.00°. The asymmetric unit holds Fe at (0.0000, 0.0000, 0.0000), Os at (0.5000, 0.5000, 0.5000), I at (0.0000, 0.0000, 0.5000) and O at (0.0000, 0.5000, 0.0000).

The value obtained for the energy above the most stable polymorph in this dataset is 690.5 meV/atom. The final energy is -25.44 eV for the cell shown. The calculation puts the size of the total moment at 6.79 μB per cell. As for the crystal system: tetragonal.